An optimized crystal structure of Pm2TlMoO8. Source: Alexandria via LeMat-Bulk, functional PBE+U.

uncorrected energy: -6.89 eV/atom

Cell and atoms, written as extended XYZ:
```
12
Lattice="-0.5805 -2.6053 -3.9433 2.2296 -3.6508 2.5083 -6.5299 -2.7100 2.4973" Properties=species:S:1:pos:R:3 pbc="T T T"
O -3.4819 -5.9601 3.2753
O -1.3988 -3.0060 -2.2129
O -2.6431 -3.1901 0.7469
O 0.1404 -1.8876 -0.3760
O -5.0211 -7.0784 1.4384
O -5.2607 -5.3702 -0.8189
O 0.3800 -3.5958 1.8812
O -2.2377 -5.7759 0.3155
Mo 0.0000 0.0000 0.0000
Pm -0.6761 -4.1019 -0.2220
Pm -4.2047 -4.8641 1.2843
Tl -3.2649 -1.3550 1.2487
```